P) VASP calculation (PBE) on crystalline AlSiTc2 at its relaxed geometry.

abc: 2.8473 2.8473 25.0251
angles: 90.00 90.00 120.00
Space group R3m (No. 160, hexagonal axes)
Symmetry-distinct sites (fractional):
Al 0.0000 0.0000 0.0000 (multiplicity 3)
Si 0.0000 0.0000 0.2432 (multiplicity 3)
Tc 0.0000 0.0000 0.4999 (multiplicity 3)
Tc 0.0000 0.0000 0.7499 (multiplicity 3)

=====

Q) VASP calculation (PBE) on crystalline AlSiTc2 at its relaxed geometry.

abc: 3.045 4.739 7.902
angles: 90.00 90.00 90.00
Space group Cmmm (No. 65)
Symmetry-distinct sites (fractional):
Al 0.000 0.000 0.000 (multiplicity 2)
Si 0.000 0.000 0.500 (multiplicity 2)
Tc 0.000 0.500 0.264 (multiplicity 4)

=====

R) VASP calculation (PBE) on crystalline AlSiTc2 at its relaxed geometry.

abc: 2.994 2.994 6.106
angles: 90.00 90.00 90.00
Space group P4/mmm (No. 123)
Symmetry-distinct sites (fractional):
Al 0.000 0.000 0.000 (multiplicity 1)
Si 0.000 0.000 0.500 (multiplicity 1)
Tc 0.500 0.500 0.270 (multiplicity 2)

=====

S) VASP calculation (PBE) on crystalline AlSiTc2 at its relaxed geometry.

abc: 2.8646 2.8646 24.0728
angles: 90.00 90.00 120.00
Space group R-3m (No. 166, hexagonal axes)
Symmetry-distinct sites (fractional):
Al 0.0000 0.0000 0.0000 (multiplicity 3)
Si 0.0000 0.0000 0.5000 (multiplicity 3)
Tc 0.0000 0.0000 0.2457 (multiplicity 6)

=====

Stability verdict: R), ahead by 15.5 kJ/mol of atoms

=====

P) VASP calculation (PBE) on crystalline AlSiTc2 at its relaxed geometry.

abc: 3.050 3.958 4.690
angles: 90.00 90.00 90.00
Space group Pmmm (No. 47)
Symmetry-distinct sites (fractional):
Al 0.000 0.000 0.000 (multiplicity 1)
Si 0.500 0.000 0.500 (multiplicity 1)
Tc 0.000 0.500 0.500 (multiplicity 1)
Tc 0.500 0.500 0.000 (multiplicity 1)

=====

Q) VASP calculation (PBE) on crystalline AlSiTc2 at its relaxed geometry.

abc: 6.002 6.002 6.002
angles: 90.00 90.00 90.00
Space group Fm-3m (No. 225)
Symmetry-distinct sites (fractional):
Al 0.000 0.000 0.000 (multiplicity 4)
Si 0.000 0.000 0.500 (multiplicity 4)
Tc 0.250 0.250 0.250 (multiplicity 8)

=====

Stability verdict: Q), ahead by 19.0 kJ/mol of atoms

=====

P) VASP calculation (PBE) on crystalline AlSiTc2 at its relaxed geometry.

abc: 9.099 2.969 4.310
angles: 90.00 107.45 90.00
Space group Cm (No. 8)
Symmetry-distinct sites (fractional):
Al 0.000 0.000 0.000 (multiplicity 2)
Si 0.237 0.000 0.668 (multiplicity 2)
Tc 0.250 0.500 0.172 (multiplicity 2)
Tc 0.497 0.000 0.507 (multiplicity 2)

=====

Q) VASP calculation (PBE) on crystalline AlSiTc2 at its relaxed geometry.

abc: 6.693 6.693 5.509
angles: 90.00 90.00 90.00
Space group I-42d (No. 122)
Symmetry-distinct sites (fractional):
Al 0.000 0.000 0.000 (multiplicity 4)
Si 0.000 0.000 0.500 (multiplicity 4)
Tc 0.216 0.750 0.625 (multiplicity 8)

=====

Stability verdict: P), ahead by 57.7 kJ/mol of atoms